VASP calculation (GGA+U) on an optimized crystal structure of MnSbPb2O5.

```
MnSbPb2O5
1.0
3.5852 0.0000 0.0000
-1.7926 8.2523 0.0000
0.0000 0.0000 10.3210
Mn Sb Pb O
2 2 4 10
Direct
0.7651 0.5302 0.5427
0.2349 0.4698 0.0427
0.5573 0.1145 0.9719
0.4427 0.8855 0.4719
0.8776 0.7551 0.8168
0.1174 0.2348 0.6800
0.1224 0.2449 0.3168
0.8826 0.7652 0.1800
0.3445 0.6890 0.9934
0.6478 0.2956 0.8418
0.4778 0.9556 0.8115
0.2572 0.5144 0.6187
0.8840 0.7679 0.5471
0.6555 0.3110 0.4934
0.3522 0.7044 0.3418
0.5222 0.0444 0.3115
0.7428 0.4856 0.1187
0.1160 0.2321 0.0471
```

Output
- Total DFT energy (no corrections): -6.013 eV/atom
- DOS at the Fermi energy: 0.4 states/eV per cell
- Crystal system: orthorhombic
- Density: 7.30 g cm⁻³
- Size of the total moment: 4.00 μB per formula unit